No. 1
## Ac3Ho (PBE)

Data for crystalline Ac3Ho at its relaxed geometry.

Lattice parameters (Å, degrees): 5.4957 5.4957 10.9175 90.00 90.00 90.00
Closest atoms and distances in Å follow each position.
Space group I4/mmm (No. 139)
Symmetry-distinct sites (fractional):
Ac (0.0000, 0.0000, 0.0000) x2  8 Ac 3.87, 4 Ho 3.89
Ac (0.0000, 0.5000, 0.2500) x4  8 Ac 3.87-3.89, 4 Ho 3.87
Ho (0.0000, 0.0000, 0.5000) x2  12 Ac 3.87-3.89

Summary:
The value obtained for the energy relative to the elements is 0.053 eV/atom.



No. 2
## Ac8Ho (PBE)

Data for crystalline Ac8Ho at its relaxed geometry.

Lattice parameters (Å, degrees): 11.8280 11.8280 5.5778 90.00 90.00 90.00
Closest atoms and distances in Å follow each position.
Space group I4/mmm (No. 139)
Symmetry-distinct sites (fractional):
Ac (0.0000, 0.3299, 0.0000) x8  1 Ho 3.90, 11 Ac 3.92-4.02
Ac (0.1639, 0.1639, 0.5000) x8  10 Ac 3.88-4.01, 2 Ho 3.91
Ho (0.0000, 0.0000, 0.0000) x2  12 Ac 3.90-3.91

Summary:
The value obtained for the energy relative to the elements is 0.033 eV/atom.



No. 3
## AcHo3 (PBE)

Data for crystalline AcHo3 at its relaxed geometry.

Lattice parameters (Å, degrees): 9.5792 10.0448 6.0584 90.00 90.00 90.00
Closest atoms and distances in Å follow each position.
Space group Cmcm (No. 63)
Symmetry-distinct sites (fractional):
Ac (0.0000, 0.0820, 0.2500) x4  3 Ho 3.34-3.60, 2 Ac 3.45
Ho (0.0000, 0.4145, 0.2500) x4  1 Ac 3.34, 10 Ho 3.48-3.74
Ho (0.1624, 0.2615, 0.7500) x8  3 Ho 3.11-3.47

Summary:
The value obtained for the energy relative to the elements is 0.260 eV/atom.



No. 4
## Ac4Ho (PBE)

Data for crystalline Ac4Ho at its relaxed geometry.

Lattice parameters (Å, degrees): 10.2422 10.2422 4.0557 90.00 90.00 90.00
Closest atoms and distances in Å follow each position.
Space group I4/m (No. 87)
Symmetry-distinct sites (fractional):
Ac (0.0858, 0.7195, 0.0000) x8  2 Ho 3.62, 8 Ac 3.97-4.06
Ho (0.0000, 0.0000, 0.5000) x2  8 Ac 3.62, 2 Ho 4.06

Summary:
The value obtained for the energy relative to the elements is 0.100 eV/atom.



No. 5
## AcHo3 (PBE)

Data for crystalline AcHo3 at its relaxed geometry.

Lattice parameters (Å, degrees): 5.1463 5.1463 5.1463 90.00 90.00 90.00
Closest atoms and distances in Å follow each position.
Space group Pm-3m (No. 221)
Symmetry-distinct sites (fractional):
Ac (0.0000, 0.0000, 0.0000) x1  12 Ho 3.64
Ho (0.0000, 0.5000, 0.5000) x3  4 Ac 3.64, 8 Ho 3.64

Summary:
The value obtained for the energy relative to the elements is 0.065 eV/atom.



No. 6
## Ac5Ho (PBE)

Data for crystalline Ac5Ho at its relaxed geometry.

Lattice parameters (Å, degrees): 5.5275 16.6482 5.5441 90.00 90.00 90.00
Closest atoms and distances in Å follow each position.
Space group Cmmm (No. 65)
Symmetry-distinct sites (fractional):
Ac (0.0000, 0.0000, 0.0000) x2  8 Ac 3.88-3.89, 4 Ho 3.91
Ac (0.0000, 0.1628, 0.5000) x4  2 Ho 3.87, 10 Ac 3.88-4.01
Ac (0.0000, 0.3356, 0.0000) x4  10 Ac 3.89-4.00, 2 Ho 3.90
Ho (0.0000, 0.5000, 0.5000) x2  12 Ac 3.87-3.91

Summary:
The value obtained for the energy relative to the elements is 0.039 eV/atom.



No. 7
## AcHo8 (PBE)

Data for crystalline AcHo8 at its relaxed geometry.

Lattice parameters (Å, degrees): 10.7384 10.7384 5.0423 90.00 90.00 90.00
Closest atoms and distances in Å follow each position.
Space group I4/mmm (No. 139)
Symmetry-distinct sites (fractional):
Ac (0.0000, 0.0000, 0.0000) x2  12 Ho 3.62
Ho (0.0000, 0.3371, 0.0000) x8  11 Ho 3.50-3.59, 1 Ac 3.62
Ho (0.1709, 0.1709, 0.5000) x8  10 Ho 3.48-3.67, 2 Ac 3.62

Summary:
The value obtained for the energy relative to the elements is 0.042 eV/atom.



No. 8
## AcHo4 (PBE)

Data for crystalline AcHo4 at its relaxed geometry.

Lattice parameters (Å, degrees): 5.8578 5.8578 5.8578 90.00 90.00 90.00
Closest atoms and distances in Å follow each position.
Space group Pm-3m (No. 221)
Symmetry-distinct sites (fractional):
Ac (0.0000, 0.0000, 0.0000) x1  6 Ho 2.93
Ho (0.0000, 0.0000, 0.5000) x3  2 Ac 2.93
Ho (0.5000, 0.5000, 0.5000) x1  12 Ho 4.14

Summary:
The value obtained for the energy relative to the elements is 1.043 eV/atom.



No. 9
## Ac5Ho3 (PBE)

Data for crystalline Ac5Ho3 at its relaxed geometry.

Lattice parameters (Å, degrees): 3.8878 3.8878 20.8371 90.00 90.00 90.00
Closest atoms and distances in Å follow each position.
Space group P4/mmm (No. 123)
Symmetry-distinct sites (fractional):
Ac (0.0000, 0.0000, 0.0000) x1  8 Ho 3.70, 4 Ac 3.89
Ac (0.0000, 0.0000, 0.2404) x2  4 Ho 3.74, 8 Ac 3.89-3.98
Ac (0.5000, 0.5000, 0.3784) x2  4 Ho 3.74, 8 Ac 3.89-3.98
Ho (0.0000, 0.0000, 0.5000) x1  8 Ac 3.74, 4 Ho 3.89
Ho (0.5000, 0.5000, 0.1189) x2  8 Ac 3.70-3.74, 4 Ho 3.89

Summary:
The value obtained for the energy relative to the elements is 0.058 eV/atom.



No. 10
## AcHo2I (PBE)

Data for crystalline AcHo2I at its relaxed geometry.

Lattice parameters (Å, degrees): 3.6767 3.6767 35.9893 90.00 90.00 120.00
Closest atoms and distances in Å follow each position.
Space group R-3m (No. 166, hexagonal axes)
Symmetry-distinct sites (fractional):
Ac (0.0000, 0.0000, 0.0000) x3  2 Ho 3.53, 6 Ac 3.68
Ho (0.0000, 0.0000, 0.0981) x6  3 I 3.26, 1 Ac 3.53
I (0.0000, 0.0000, 0.5000) x3  6 Ho 3.26

Summary:
The raw formation energy comes out at -0.042 eV per atom.



No. 11
## AcHoI2 (PBE)

Data for crystalline AcHoI2 at its relaxed geometry.

Lattice parameters (Å, degrees): 4.0015 4.0015 33.5080 90.00 90.00 120.00
Closest atoms and distances in Å follow each position.
Space group R-3m (No. 166, hexagonal axes)
Symmetry-distinct sites (fractional):
Ac (0.0000, 0.0000, 0.0000) x3  6 I 3.43
Ho (0.0000, 0.0000, 0.5000) x3  2 I 3.05
I (0.0000, 0.0000, 0.4089) x6  1 Ho 3.05

Summary:
The raw formation energy comes out at -0.720 eV per atom.



No. 12
## Ac2HoIr2I2 (PBE)

Data for crystalline Ac2HoIr2I2 at its relaxed geometry.

Lattice parameters (Å, degrees): 5.2112 5.2112 17.4499 90.00 90.00 90.00
Closest atoms and distances in Å follow each position.
Space group I4/mmm (No. 139)
Symmetry-distinct sites (fractional):
Ac (0.0000, 0.0000, 0.1053) x4  4 Ir 3.19
Ho (0.0000, 0.0000, 0.5000) x2  4 Ir 2.61
Ir (0.0000, 0.5000, 0.0000) x4  2 Ho 2.61
I (0.0000, 0.0000, 0.3110) x4  1 Ho 3.30, 1 Ac 3.59

Summary:
The raw formation energy comes out at -0.800 eV per atom.



No. 13
## Ac2HoIO8 (PBE)

Data for crystalline Ac2HoIO8 at its relaxed geometry.

Lattice parameters (Å, degrees): 5.3363 5.3451 7.1338 90.00 89.99 88.10
Closest atoms and distances in Å follow each position.
Space group P-1 (No. 2)
Symmetry-distinct sites (fractional):
Ac (0.0013, 0.4988, 0.2453) x2  6 O 2.37-2.57
Ho (0.5000, 0.0000, 0.5000) x1  2 O 2.19
I (0.5000, 0.0000, 0.0000) x1  6 O 1.88-1.94
O (0.2045, 0.2936, 0.5008) x2  1 Ho 2.19, 2 Ac 2.37
O (0.2448, 0.2509, 0.9986) x2  1 I 1.88
O (0.3323, 0.8315, 0.2036) x2  1 I 1.94
O (0.3343, 0.8293, 0.7966) x2  1 I 1.94

Summary:
The raw formation energy comes out at -2.237 eV per atom.



No. 14
## AcHoI2O8 (PBE)

Data for crystalline AcHoI2O8 at its relaxed geometry.

Lattice parameters (Å, degrees): 6.2671 6.2671 7.1353 90.00 90.00 120.00
Closest atoms and distances in Å follow each position.
Space group P-3m1 (No. 164)
Symmetry-distinct sites (fractional):
Ac (0.0000, 0.0000, 0.0000) x1  6 O 2.59
Ho (0.0000, 0.0000, 0.5000) x1  6 O 2.26
I (0.3333, 0.6667, 0.2781) x2  4 O 1.81-1.98
O (0.1507, 0.3014, 0.2820) x6  1 I 1.98
O (0.3333, 0.6667, 0.0250) x2  1 I 1.81

Summary:
The raw formation energy comes out at -1.595 eV per atom.



No. 15
## Ac2HoPt2I2 (PBE)

Data for crystalline Ac2HoPt2I2 at its relaxed geometry.

Lattice parameters (Å, degrees): 5.2792 5.2792 17.5090 90.00 90.00 90.00
Closest atoms and distances in Å follow each position.
Space group I4/mmm (No. 139)
Symmetry-distinct sites (fractional):
Ac (0.0000, 0.0000, 0.1077) x4  4 Pt 3.24, 1 I 3.51
Ho (0.0000, 0.0000, 0.5000) x2  4 Pt 2.64
Pt (0.0000, 0.5000, 0.0000) x4  2 Ho 2.64
I (0.0000, 0.0000, 0.3081) x4  1 Ho 3.36, 1 Ac 3.51

Summary:
The raw formation energy comes out at -1.089 eV per atom.



No. 16
## AcHoRhI (PBE)

Data for crystalline AcHoRhI at its relaxed geometry.

Lattice parameters (Å, degrees): 4.1992 4.1992 24.9413 90.00 90.00 120.00
Closest atoms and distances in Å follow each position.
Space group R3m (No. 160, hexagonal axes)
Symmetry-distinct sites (fractional):
Ac (0.0000, 0.0000, 0.0000) x3  3 Rh 2.94
Ho (0.0000, 0.0000, 0.7885) x3  3 Rh 2.79
Rh (0.0000, 0.0000, 0.4000) x3  3 Ho 2.79, 3 Ac 2.94
I (0.0000, 0.0000, 0.2182) x3  3 Ho 3.41, 3 Ac 3.76

Summary:
The raw formation energy comes out at -0.971 eV per atom.



No. 17
## AcHo3In (PBE)

Data for crystalline AcHo3In at its relaxed geometry.

Lattice parameters (Å, degrees): 8.0123 8.0123 6.2361 90.00 90.00 120.00
Closest atoms and distances in Å follow each position.
Space group P6_3/mmc (No. 194)
Symmetry-distinct sites (fractional):
Ac (0.3333, 0.6667, 0.2500) x2  12 Ho 3.69-4.02
Ho (0.1910, 0.3821, 0.7500) x6  2 In 3.08, 2 Ho 3.42
In (0.0000, 0.0000, 0.0000) x2  6 Ho 3.08, 2 In 3.12

Summary:
The value obtained for the energy relative to the elements is 0.036 eV/atom.



No. 18
## Ac6HoIn5 (PBE)

Data for crystalline Ac6HoIn5 at its relaxed geometry.

Lattice parameters (Å, degrees): 5.5222 8.9848 8.9601 90.00 108.00 90.00
Closest atoms and distances in Å follow each position.
Space group P2/m (No. 10)
Symmetry-distinct sites (fractional):
Ac (0.0000, 0.2269, 0.0000) x2  6 In 3.43-3.57, 2 Ho 3.69
Ac (0.3267, 0.2519, 0.6551) x4  7 In 3.48-3.86, 1 Ho 3.69, 2 Ac 3.81-3.83
Ho (0.5000, 0.5000, 0.0000) x1  4 In 3.68, 8 Ac 3.69
In (0.1440, 0.5000, 0.2856) x2  8 Ac 3.46-3.86, 2 Ho 3.68
In (0.1743, 0.0000, 0.3444) x2  8 Ac 3.48-3.58, 2 In 3.81-3.85
In (0.5000, 0.0000, 0.0000) x1  8 Ac 3.43-3.71

Summary:
The value obtained for the energy relative to the elements is -0.316 eV/atom.



No. 19
## Ac3HoIn12 (PBE)

Data for crystalline Ac3HoIn12 at its relaxed geometry.

Lattice parameters (Å, degrees): 4.8484 4.8484 19.4569 90.00 90.00 90.00
Closest atoms and distances in Å follow each position.
Space group P4/mmm (No. 123)
Symmetry-distinct sites (fractional):
Ac (0.0000, 0.0000, 0.0000) x1  12 In 3.43-3.49
Ac (0.0000, 0.0000, 0.2591) x2  12 In 3.43-3.50
Ho (0.0000, 0.0000, 0.5000) x1  12 In 3.28-3.43
In (0.0000, 0.5000, 0.1291) x4  8 In 3.38-3.49, 4 Ac 3.49-3.50
In (0.0000, 0.5000, 0.3861) x4  8 In 3.28-3.59, 2 Ho 3.28, 2 Ac 3.46
In (0.5000, 0.5000, 0.0000) x1  4 Ac 3.43, 8 In 3.49
In (0.5000, 0.5000, 0.2501) x2  8 In 3.38-3.59, 4 Ac 3.43
In (0.5000, 0.5000, 0.5000) x1  8 In 3.28, 4 Ho 3.43

Summary:
The value obtained for the energy relative to the elements is -0.391 eV/atom.



No. 20
## Ac2HoIn (PBE)

Data for crystalline Ac2HoIn at its relaxed geometry.

Lattice parameters (Å, degrees): 8.2855 8.2855 8.2855 90.00 90.00 90.00
Closest atoms and distances in Å follow each position.
Space group Fm-3m (No. 225)
Symmetry-distinct sites (fractional):
Ac (0.2500, 0.2500, 0.2500) x8  4 In 3.59, 4 Ho 3.59
Ho (0.0000, 0.0000, 0.0000) x4  8 Ac 3.59
In (0.0000, 0.0000, 0.5000) x4  8 Ac 3.59

Summary:
The value obtained for the energy relative to the elements is -0.091 eV/atom.



Number 1: energy -33.38 eV/cell. Number 2: energy -74.30 eV/cell. Number 3: energy -67.21 eV/cell. Number 4: energy -41.03 eV/cell. Number 5: energy -17.58 eV/cell. Number 6: energy -49.77 eV/cell. Number 7: energy -80.71 eV/cell. Number 8: energy -17.21 eV/cell. Number 9: energy -33.81 eV/cell. Number 10: energy -44.94 eV/cell. Number 11: energy -44.00 eV/cell. Number 12: energy -78.44 eV/cell. Number 13: energy -80.86 eV/cell. Number 14: energy -70.59 eV/cell. Number 15: energy -71.20 eV/cell. Number 16: energy -64.41 eV/cell. Number 17: energy -40.80 eV/cell. Number 18: energy -46.72 eV/cell. Number 19: energy -56.02 eV/cell. Number 20: energy -63.60 eV/cell.